Entry 1:
TiSiW2 | the Alexandria database | PBE | optimized geometry; space group = I-42d, No. 122; energy relative to the elements, uncorrected = 538 meV per atom; volume = 140 Å³/cell; magnetization = 0.000 μB/atom
1.0
7.5606 0.0000 0.0000
0.0000 7.5606 0.0000
3.7803 3.7803 2.4446
Si W Ti
2 4 2
Cartesian
3.7803 3.7803 0.0000
3.7803 7.5606 1.2223
5.1420 1.8902 0.6111
2.4187 5.6705 0.6111
5.6705 6.1990 1.8334
9.4508 8.9223 1.8334
0.0000 0.0000 0.0000
7.5606 3.7803 1.2223

=====

Entry 2:
BaTb4YS8 | the Alexandria database | PBE | optimized geometry; space group = R3m, No. 160; energy relative to the elements, uncorrected = -1973 meV per atom; volume = 400 Å³/cell; magnetization = 0.000 μB/atom
1.0
-0.2631 -7.3279 3.8249
6.9927 -4.1891 1.3963
2.9030 -0.7500 7.7038
Ba Tb Y S
1 4 1 8
Cartesian
5.0639 -4.9743 8.7003
4.5688 -7.2925 4.2250
4.9156 -2.4613 4.5636
1.3388 -4.0086 5.7608
1.4685 -0.3963 3.8753
2.8995 -0.7662 7.6725
7.6845 -5.6147 7.6537
3.5373 -7.4087 9.0418
3.6877 -3.2203 6.8556
2.4436 -2.9009 3.5515
2.1412 -6.7006 5.1921
5.9825 -5.0389 3.9064
5.8432 -8.9183 5.9313
7.2102 -9.2669 9.5651

=====

Entry 3:
Sc2InSe | the Alexandria database | PBE | optimized geometry; space group = Immm, No. 71; energy relative to the elements, uncorrected = -690 meV per atom; volume = 90 Å³/cell; magnetization = 0.000 μB/atom
1.0
5.4221 0.0098 0.0007
1.1293 5.3032 -0.0007
-2.4521 -3.6721 3.1468
In Sc Se
1 2 1
Cartesian
0.9765 2.1438 1.5730
6.3671 5.1636 0.0000
3.4600 2.8059 0.0000
3.1229 -0.5029 1.5738

=====

Entry 4:
Al3CuAg | the Alexandria database | PBE | optimized geometry; E_tot = -16.70 eV for the cell shown; space group = Pm-3m, No. 221; volume = 96 Å³/cell; magnetization = 0.000 μB/atom
1.0
-4.5306 -0.5494 0.3168
-0.0630 -1.8839 -4.1684
0.6310 -4.1325 1.8582
Cu Ag Al
1 1 3
Cartesian
0.0000 0.0000 0.0000
-1.9813 -3.2829 -0.9967
-0.0315 -0.9420 -2.0842
0.3155 -2.0662 0.9291
-2.2653 -0.2747 0.1584

=====

Entry 5:
BaScP2S8 | the Alexandria database | PBE | optimized geometry; space group = P-3, No. 147; energy relative to the elements, uncorrected = -814 meV per atom; volume = 282 Å³/cell; magnetization = 0.000 μB/atom
1.0
6.0323 0.0000 0.0000
-3.0161 5.2241 0.0000
0.0000 0.0000 8.9588
Ba Sc P S
1 1 2 8
Cartesian
0.0000 0.0000 0.0000
0.0000 0.0000 4.4794
3.0161 1.7414 2.3157
0.0000 3.4827 6.6432
0.0000 3.4827 8.6834
1.0310 1.7539 2.8669
3.9978 0.0159 2.8669
3.0161 1.7414 0.2755
-0.9817 5.2082 6.0919
1.9852 3.4702 6.0919
-1.0035 1.7698 6.0919
4.0196 3.4543 2.8669

=====

Entry 6:
HfScAu | the Alexandria database | PBE | optimized geometry; E_tot = -41.92 eV for the cell shown; space group = C2/m, No. 12; volume = 125 Å³/cell; magnetization = 0.000 μB/atom
1.0
7.8132 0.0104 -0.0025
-0.7093 3.2431 0.0006
-0.0520 -0.0125 4.9314
Sc Hf Au
2 2 2
Cartesian
0.6128 2.2799 3.8406
3.2242 2.8521 1.1690
6.3236 1.8307 1.2814
6.0356 0.0682 3.7261
1.1306 0.6947 1.4495
3.4153 1.1941 3.5588

=====

Entry 7:
Pu2Sc8Al | the Alexandria database | PBE | optimized geometry; E_tot = -82.97 eV for the cell shown; space group = C2/m, No. 12; volume = 251 Å³/cell; magnetization = 0.001 μB/atom
1.0
3.5245 0.0000 0.0000
0.0000 8.1821 0.5509
-1.7623 -2.9027 8.5159
Pu Sc Al
2 8 1
Cartesian
1.7623 1.9433 4.7599
0.0000 3.3360 4.3068
0.0000 1.9584 7.3071
1.7623 6.0876 3.7176
1.7623 4.6850 6.7006
1.7623 -0.6756 7.8977
0.0000 0.5943 2.3661
0.0000 -0.8082 5.3491
1.7623 3.3209 1.7596
0.0000 5.9550 1.1690
1.7623 0.0000 0.0000

=====

Entry 8:
Ca2Zn | the Alexandria database | PBE | optimized geometry; E_tot = -11.55 eV for the cell shown; space group = I4/mcm, No. 140; volume = 187 Å³/cell; magnetization = 0.000 μB/atom
1.0
-5.9596 -1.7169 0.8715
4.4092 -4.0925 1.7421
0.8630 5.0744 3.5679
Ca Zn
4 2
Cartesian
-0.7506 1.2669 2.3707
0.0632 -2.0019 3.8109
2.6666 1.2433 4.3453
-3.3540 -1.9783 1.8362
-1.1628 -4.3570 1.9602
-0.3876 -1.4523 0.6534

=====

Entry 9:
La3In2Ru | the Alexandria database | PBE | optimized geometry; E_tot = -62.75 eV for the cell shown; space group = C2/c, No. 15; volume = 374 Å³/cell; magnetization = 0.000 μB/atom
1.0
-4.4446 -5.2365 -1.6313
4.3443 -5.3825 -1.4115
-0.2457 -4.8359 6.6141
La In Ru
6 4 2
Cartesian
0.7498 -6.5328 0.1536
-1.0959 -8.9222 3.4176
0.6737 -1.7814 -0.1622
0.5003 -11.2788 0.4614
-1.0197 -13.6735 3.7335
-0.8464 -4.1762 3.1099
-2.0927 -9.2163 0.0998
-2.0012 -3.7564 0.0676
1.6551 -11.6985 3.5036
1.7466 -6.2387 3.4714
-2.0803 -6.4858 0.0829
1.7342 -8.9692 3.4884

=====

Entry 10:
TaTlAs4 | the Alexandria database | PBE | optimized geometry; E_tot = -29.03 eV for the cell shown; space group = F-43m, No. 216; volume = 123 Å³/cell; magnetization = 0.000 μB/atom
1.0
4.6370 1.2151 2.8530
0.8897 5.2081 1.7894
-0.3016 1.1677 5.4464
Ta Tl As
1 1 4
Cartesian
3.9188 5.6931 7.5666
0.0000 0.0000 0.0000
4.2537 3.4590 5.2074
1.8203 3.4357 6.4853
2.4073 5.4266 4.6833
1.9689 2.8603 3.8016

=====

Entry 11:
YZn2Au | the Alexandria database | PBE | optimized geometry; E_tot = -12.90 eV for the cell shown; space group = C2/m, No. 12; volume = 84 Å³/cell; magnetization = 0.000 μB/atom
1.0
5.0062 -0.0168 -0.0520
-2.3504 5.3635 0.0127
0.3054 1.0090 3.1155
Au Y Zn
1 1 2
Cartesian
-1.0225 3.1863 1.5641
1.3279 2.6733 -0.0196
0.0000 0.0000 0.0000
2.6558 0.4961 1.5317

=====

Entry 12:
Ti2Cr3Co | the Alexandria database | PBE | optimized geometry; E_tot = -52.69 eV for the cell shown; space group = R-3m, No. 166; volume = 79 Å³/cell; magnetization = 0.000 μB/atom
1.0
-2.4339 2.5114 -3.1777
-2.2754 -2.2276 3.4913
2.7360 2.3734 3.2928
Ti Cr Co
2 3 1
Cartesian
-2.3384 1.3301 -0.6747
0.3651 1.3272 4.2811
-0.9866 1.3286 1.8032
1.3680 1.1867 1.6464
0.1511 2.4424 0.0576
0.0000 0.0000 0.0000